[1]
Tl2SeBr5: relaxed, PBE.

Cell lengths 10.767, 10.793, 5.749 Å; angles 90.00, 102.05, 90.00 degrees
Space group Cm (No. 8)
Symmetry-distinct sites (fractional):
1 Tl 0.000 0.222 0.000 x4
2 Se 0.214 0.000 0.645 x2
3 Br 0.207 0.242 0.642 x4
4 Br 0.217 0.000 0.146 x2
5 Br 0.460 0.000 0.730 x2
6 Br 0.464 0.500 0.562 x2

Calculated values
Polymorph energy (0 for the lowest one) = 0 meV per atom
E_form (uncorrected) = -0.48 eV per atom

---

[2]
TlSe2Br6: relaxed, PBE.

Cell lengths 17.954, 9.568, 8.790 Å; angles 90.00, 111.61, 90.00 degrees
Space group C2/c (No. 15)
Symmetry-distinct sites (fractional):
1 Tl 0.000 0.095 0.250 x4
2 Se 0.249 0.160 0.742 x8
3 Br 0.089 0.155 0.639 x8
4 Br 0.104 0.317 0.124 x8
5 Br 0.250 0.013 0.517 x8

Calculated values
E_form (uncorrected) = -0.22 eV per atom

---

[3]
Tl5Se2Br: relaxed, PBE.

Cell lengths 8.773, 8.773, 13.376 Å; angles 90.00, 90.00, 90.00 degrees
Space group I4/mcm (No. 140)
Symmetry-distinct sites (fractional):
1 Tl 0.000 0.000 0.000 x4
2 Tl 0.147 0.353 0.142 x16
3 Se 0.158 0.342 0.500 x8
4 Br 0.000 0.000 0.250 x4

Calculated values
Polymorph energy (0 for the lowest one) = 0 meV per atom
E_form (uncorrected) = -0.49 eV per atom

---

[4]
Tl4Se2Br: relaxed, PBE.

Cell lengths 8.720, 8.975, 13.483 Å; angles 90.00, 90.00, 90.00 degrees
Space group Imma (No. 74)
Symmetry-distinct sites (fractional):
1 Tl 0.000 0.022 0.220 x8
2 Tl 0.249 0.250 0.495 x8
3 Se 0.000 0.000 0.000 x4
4 Se 0.250 0.250 0.250 x4
5 Br 0.250 0.250 0.750 x4

Calculated values
Polymorph energy (0 for the lowest one) = 23 meV per atom
E_form (uncorrected) = -0.43 eV per atom

---

[5]
TlSeBr2: relaxed, PBE.

Cell lengths 7.391, 8.445, 5.570 Å; angles 90.00, 131.33, 90.00 degrees
Space group C2/m (No. 12)
Symmetry-distinct sites (fractional):
1 Tl 0.000 0.000 0.000 x2
2 Se 0.000 0.500 0.000 x2
3 Br 0.250 0.250 0.500 x4

Calculated values
Polymorph energy (0 for the lowest one) = 173 meV per atom
E_form (uncorrected) = -0.11 eV per atom

---

[6]
Tl2Se2Br7: relaxed, PBE.

Cell lengths 9.360, 11.984, 7.763 Å; angles 90.00, 97.05, 90.00 degrees
Space group C2/m (No. 12)
Symmetry-distinct sites (fractional):
1 Tl 0.000 0.233 0.000 x4
2 Se 0.222 0.000 0.501 x4
3 Br 0.000 0.500 0.500 x2
4 Br 0.187 0.000 0.175 x4
5 Br 0.220 0.164 0.732 x8

Calculated values
E_form (uncorrected) = -0.27 eV per atom

---

Number 1: DOS(E_F) 3.02 states/eV/cell, theoretical density 4.5 g cm⁻³. Number 2: DOS(E_F) 22.17 states/eV/cell, theoretical density 4.0 g cm⁻³. Number 3: DOS(E_F) 0.08 states/eV/cell, theoretical density 8.1 g cm⁻³. Number 4: DOS(E_F) 10.46 states/eV/cell, theoretical density 6.6 g cm⁻³. Number 5: DOS(E_F) 6.83 states/eV/cell, theoretical density 5.6 g cm⁻³. Number 6: DOS(E_F) 8.38 states/eV/cell, theoretical density 4.3 g cm⁻³.